The following is a PBE-GGA calculation of a relaxed TcIrAu crystal, from Alexandria via LeMat-Bulk.

The value obtained for the energy relative to the elements is 0.63 eV per atom. Its crystal system is cubic. For the density of states at the Fermi level, the calculation gives 5.58 states/eV/f.u.

The structure belongs to space group F-43m (No. 216); the cell edges are 6.048, 6.048 and 6.048 Å and the angles 90.00°, 90.00° and 90.00°. Symmetry generates all atoms from Tc at (0.000, 0.000, 0.000), Ir at (0.250, 0.250, 0.250) and Au at (0.000, 0.000, 0.500).

The following is a PBE-GGA calculation of a relaxed TcIrAu crystal, from Alexandria via LeMat-Bulk.

The value obtained for the energy relative to the elements is 0.08 eV per atom. Its crystal system is tetragonal. For the density of states at the Fermi level, the calculation gives 2.63 states/eV/f.u.

The structure belongs to space group I4mm (No. 107); the cell edges are 2.809, 2.809 and 11.944 Å and the angles 90.00°, 90.00° and 90.00°. Symmetry generates all atoms from Tc at (0.000, 0.000, 0.000), Ir at (0.000, 0.000, 0.641) and Au at (0.000, 0.000, 0.324).